Record 1
This record from Alexandria describes crystalline CdTc3 at its relaxed geometry. The functional is PBE.

E above lowest polymorph	0.00	kJ per mole of atoms
calculated formation energy	0.201	eV/atom
size of the total moment	0.00	μB/f.u.

```
CdTc3
1.0
2.819 0.000 0.000
-1.409 2.441 0.000
0.000 0.000 9.217
Cd Tc
1 3
Direct
0.000 0.000 0.000 Cd
0.333 0.667 0.272 Tc
0.333 0.667 0.728 Tc
0.000 0.000 0.500 Tc
```



Record 2
This record from Alexandria describes crystalline PrThS2N at its relaxed geometry. The functional is PBE.

total DFT energy (no corrections)	-7.685	eV/atom
size of the total moment	0.00	μB/f.u.

```
PrThS2N
1.0
-3.693 0.081 -1.626
0.446 -3.827 -1.202
-5.600 -4.576 12.491
Pr Th S N
2 2 4 2
Direct
0.000 0.500 0.876 Pr
0.500 0.000 0.124 Pr
0.500 0.000 0.583 Th
0.000 0.500 0.417 Th
0.500 0.000 0.308 S
0.500 0.000 0.908 S
0.000 0.500 0.092 S
0.000 0.500 0.692 S
0.500 0.500 0.500 N
0.000 0.000 0.500 N
```



Record 3
This record from Alexandria describes crystalline RhIOF2 at its relaxed geometry. The functional is PBE.

E above lowest polymorph	62.32	kJ per mole of atoms
size of the total moment	1.83	μB/f.u.

```
RhIOF2
1.0
-4.377 -0.374 -1.989
1.902 -2.377 -3.740
-0.575 -3.482 1.921
O Rh I F
1 1 1 2
Direct
0.000 0.000 0.500 O
0.500 0.500 0.500 Rh
0.000 0.000 0.000 I
0.000 0.500 0.000 F
0.500 0.000 0.000 F
```



Record 4
This record from Alexandria describes crystalline TbPm2Pb2 at its relaxed geometry. The functional is PBE.

E above lowest polymorph	9.74	kJ per mole of atoms
calculated formation energy	-0.415	eV/atom
size of the total moment	0.00	μB/f.u.

```
TbPm2Pb2
1.0
-0.304 -1.900 -4.282
-4.070 -3.981 -0.518
-4.588 3.094 -3.620
Pb Tb Pm
2 1 2
Direct
0.574 0.637 0.215 Pb
0.426 0.363 0.785 Pb
0.000 0.000 0.000 Tb
0.811 0.764 0.613 Pm
0.189 0.236 0.387 Pm
```



Record 5
This record from Alexandria describes crystalline RbBaReRu2 at its relaxed geometry. The functional is PBE.

calculated formation energy	2.804	eV/atom
size of the total moment	5.77	μB/f.u.

```
RbBaReRu2
1.0
-4.914 -1.176 -0.382
0.154 -2.185 4.739
-1.227 4.449 2.091
Rb Ru Re Ba
1 2 1 1
Direct
0.000 0.000 0.000 Rb
0.000 0.000 0.500 Ru
0.500 0.000 0.000 Ru
0.000 0.500 0.000 Re
0.500 0.500 0.500 Ba
```



Record 6
This record from Alexandria describes crystalline CaNbHIr2 at its relaxed geometry. The functional is PBE.

total DFT energy (no corrections)	-5.206	eV/atom
size of the total moment	0.00	μB/f.u.

```
CaNbHIr2
1.0
4.691 0.000 0.000
0.000 6.206 0.000
0.000 0.000 4.691
Nb Ir Ca H
1 2 1 1
Direct
0.000 0.000 0.000 Nb
0.500 0.000 0.000 Ir
0.000 0.000 0.500 Ir
0.000 0.500 0.000 Ca
0.500 0.500 0.500 H
```